## SbAs2Cl8 (PBE)

Data for an optimized crystal structure of SbAs2Cl8.

Space-group type = C2/m
Volume = 38.78 A^3/atom
Formation energy from raw total energies = -54.0 kJ per mole of atoms

Cell: 8.0584 7.9182 7.9182 Å, 66.80 70.73 70.73°
Site moments in Bohr magnetons follow the coordinates.
Atoms (fractional coordinates):
Sb 0.0000 0.0000 0.0000  0.30
As 0.3551 0.1595 0.1595  0.04
As 0.6449 0.8405 0.8405  0.04
Cl 0.8114 0.6642 0.6642  0.01
Cl 0.2795 0.8160 0.8160  0.03
Cl 0.7205 0.1840 0.1840  0.03
Cl 0.2154 0.2914 0.9141  0.01
Cl 0.7846 0.0859 0.7086  0.01
Cl 0.7846 0.7086 0.0859  0.01
Cl 0.1886 0.3358 0.3358  0.01
Cl 0.2154 0.9141 0.2914  0.01